4
Lattice="5.1610 -0.0002 -0.0019 -0.1223 5.1595 0.0019 -1.5775 -3.4995 3.4498" Properties=species:S:1:pos:R:3 comment="SrAs2Rh (PBE, relaxed)" vol_a3_per_atom=22.97 ef_ev_per_atom=-0.566 pbc="T T T"
Rh 3.0514 -0.4600 1.7240
Sr 0.4098 2.1199 1.7258
As 2.8656 2.9342 0.0000
As 4.6925 4.8048 0.0000

***

4
Lattice="-0.8247 -4.2905 0.5494 4.0600 -0.9613 -1.4131 1.4363 0.2321 3.9688" Properties=species:S:1:pos:R:3 comment="SrAs2Rh (PBE, relaxed)" vol_a3_per_atom=20.50 ef_ev_per_atom=-0.188 pbc="T T T"
Sr 2.7482 -0.3646 1.2778
As 0.0000 0.0000 0.0000
As 1.6177 -2.6259 -0.4319
Rh 0.3058 -2.0292 2.2591

***

4
Lattice="-1.1081 3.9992 2.7176 0.6932 1.2850 4.7408 4.5221 3.1289 0.1716" Properties=species:S:1:pos:R:3 comment="SrAs2Rh (PBE, relaxed)" vol_a3_per_atom=22.89 ef_ev_per_atom=-0.491 pbc="T T T"
As 0.0942 5.5100 7.3082
As 1.1751 2.1210 1.7993
Rh 1.3855 3.8914 3.9870
Sr 3.0911 6.3814 5.8090

***

4
Lattice="4.3056 -0.0136 0.0162 2.1655 3.7214 0.0162 2.1384 1.2253 5.3501" Properties=species:S:1:pos:R:3 comment="SrAsRh2 (PBE, relaxed)" vol_a3_per_atom=21.43 ef_ev_per_atom=-0.562 pbc="T T T"
Rh 4.3075 2.4681 1.8560
Rh 6.4684 3.7063 0.8677
As 2.1524 1.2333 1.3456
Sr 6.4571 3.6998 4.0369

***

24
Lattice="-1.8102 -3.3481 -2.1585 9.6681 -0.0612 -8.0132 5.9621 -7.8998 7.2537" Properties=species:S:1:pos:R:3 comment="Sr3As2Rh (PBE, relaxed)" vol_a3_per_atom=28.09 ef_ev_per_atom=-0.923 pbc="T T T"
Rh 6.7926 -5.8177 1.1099
Rh 1.6396 -1.8540 -0.7168
Rh 7.0273 -5.4915 -4.0279
Rh 12.1803 -9.4552 -2.2012
As 9.0391 -4.6188 -2.6337
As 8.9979 -7.1905 1.3900
As 0.6364 -2.7331 -2.9469
As 1.4954 -3.2120 1.5106
As 4.7809 -6.6903 -0.2843
As 4.8221 -4.1186 -4.3080
As 12.3245 -8.0971 -4.4286
As 13.1835 -8.5761 0.0289
Sr 2.2918 -4.8186 -1.1003
Sr 6.1878 -3.8962 -1.3633
Sr 6.2726 -8.7748 1.6980
Sr 7.5474 -2.5343 -4.6160
Sr 4.0848 -5.2832 2.5518
Sr 9.7352 -6.0260 -5.4697
Sr 5.2982 -7.8216 5.4717
Sr 7.6321 -7.4129 -1.5547
Sr 8.5218 -3.4875 -8.3897
Sr 11.5281 -6.4906 -1.8177
Sr 10.2571 -9.9603 0.1953
Sr 3.5629 -1.3488 -3.1133

***

5
Lattice="-2.5841 4.0270 -1.1453 1.1110 -0.6381 -4.7502 -4.0366 -2.7536 -0.5742" Properties=species:S:1:pos:R:3 comment="SrAsRh3 (PBE, relaxed)" vol_a3_per_atom=23.82 ef_ev_per_atom=1.806 pbc="T T T"
As -2.7549 0.3177 -3.2349
Rh -2.0183 -1.3768 -0.2871
Rh -1.2920 2.0135 -0.5727
Rh 0.5555 -0.3191 -2.3751
Sr 0.0000 0.0000 0.0000